A relaxed Ga2PtPbW crystal, computed with PBE.

POSCAR file:
```
Ga2PtPbW
1.0
5.166 0.000 0.000
0.000 5.166 0.000
0.000 0.000 5.357
Ga Pt Pb W
2 1 1 1
direct
0.000 0.500 0.000
0.500 0.000 0.000
0.000 0.000 0.500
0.500 0.500 0.000
0.500 0.500 0.500
```

Computed properties:
For the density of states at the Fermi level, the calculation gives 0.95 states/eV/atom. Its crystal system is tetragonal. Its space-group type is P4/mmm, No. 123. The energy comes out at -3.816 eV per atom. The total magnetization is 3.42 μB/f.u.



A relaxed Pu3GaPb crystal, computed with PBE.

POSCAR file:
```
Pu3GaPb
1.0
7.350 0.000 0.000
0.000 7.350 0.000
0.000 0.000 7.350
Pu Ga Pb
9 3 3
direct
0.000 0.000 0.000
0.274 0.274 0.274
0.274 0.274 0.726
0.274 0.726 0.274
0.274 0.726 0.726
0.726 0.274 0.274
0.726 0.274 0.726
0.726 0.726 0.274
0.726 0.726 0.726
0.000 0.500 0.500
0.500 0.000 0.500
0.500 0.500 0.000
0.000 0.000 0.500
0.000 0.500 0.000
0.500 0.000 0.000
```

Computed properties:
For the density of states at the Fermi level, the calculation gives 3.76 states/eV/atom. Its crystal system is cubic. Its space-group type is Pm-3m, No. 221. The energy comes out at -10.018 eV per atom. The total magnetization is 17.79 μB/f.u.



A relaxed PuGaPb2 crystal, computed with PBE.

POSCAR file:
```
PuGaPb2
1.0
1.735 1.002 11.224
-1.735 1.002 11.224
0.000 -2.004 11.224
Pu Ga Pb
1 1 2
direct
0.000 0.000 0.000
0.500 0.500 0.500
0.097 0.097 0.097
0.903 0.903 0.903
```

Computed properties:
For the density of states at the Fermi level, the calculation gives 2.24 states/eV/atom. The calculation puts the energy above the most stable polymorph in this dataset at 390 meV/atom. Its crystal system is trigonal. Its space-group type is R-3m, No. 166. The energy comes out at -5.966 eV per atom. The total magnetization is 6.44 μB/f.u.



A relaxed Pu2Ga2Pb crystal, computed with PBE.

POSCAR file:
```
Pu2Ga2Pb
1.0
2.301 -7.646 0.000
2.301 7.646 0.000
0.000 0.000 3.326
Pu Ga Pb
2 2 1
direct
0.121 0.879 0.000
0.879 0.121 0.000
0.295 0.705 0.500
0.705 0.295 0.500
0.500 0.500 0.500
```

Computed properties:
For the density of states at the Fermi level, the calculation gives 2.96 states/eV/atom. Its crystal system is orthorhombic. Its space-group type is Cmmm, No. 65. The energy comes out at -7.961 eV per atom. The total magnetization is 11.36 μB/f.u.



A relaxed PuGaPb2 crystal, computed with PBE.

POSCAR file:
```
PuGaPb2
1.0
3.920 0.000 0.000
0.000 3.920 0.000
0.000 0.000 6.940
Pu Ga Pb
1 1 2
direct
0.000 0.000 0.000
0.000 0.000 0.500
0.500 0.500 0.274
0.500 0.500 0.726
```

Computed properties:
For the density of states at the Fermi level, the calculation gives 2.38 states/eV/atom. The calculation puts the energy above the most stable polymorph in this dataset at 149 meV/atom. Its crystal system is tetragonal. Its space-group type is P4/mmm, No. 123. The energy comes out at -6.207 eV per atom. The total magnetization is 5.94 μB/f.u.



A relaxed PuGaPb2 crystal, computed with PBE.

POSCAR file:
```
PuGaPb2
1.0
4.679 0.000 0.000
0.000 4.679 0.000
0.000 0.000 4.712
Pu Ga Pb
1 1 2
direct
0.000 0.000 0.000
0.500 0.500 0.000
0.000 0.500 0.500
0.500 0.000 0.500
```

Computed properties:
For the density of states at the Fermi level, the calculation gives 2.65 states/eV/atom. The calculation puts the energy above the most stable polymorph in this dataset at 0 meV/atom. Its crystal system is tetragonal. Its space-group type is P4/mmm, No. 123. The energy comes out at -6.356 eV per atom. The total magnetization is 5.43 μB/f.u.



A relaxed Pu6GaPb crystal, computed with PBE.

POSCAR file:
```
Pu6GaPb
1.0
4.610 0.000 0.000
0.000 4.610 0.000
0.000 0.000 9.311
Pu Ga Pb
6 1 1
direct
0.000 0.000 0.000
0.000 0.000 0.500
0.000 0.500 0.233
0.000 0.500 0.767
0.500 0.000 0.233
0.500 0.000 0.767
0.500 0.500 0.000
0.500 0.500 0.500
```

Computed properties:
For the density of states at the Fermi level, the calculation gives 4.31 states/eV/atom. Its crystal system is tetragonal. Its space-group type is P4/mmm, No. 123. The energy comes out at -11.638 eV per atom. The total magnetization is 23.15 μB/f.u.



A relaxed PuGaPb2 crystal, computed with PBE.

POSCAR file:
```
PuGaPb2
1.0
0.000 3.808 3.808
3.808 0.000 3.808
3.808 3.808 0.000
Pu Ga Pb
1 1 2
direct
0.000 0.000 0.000
0.500 0.500 0.500
0.250 0.250 0.250
0.750 0.750 0.750
```

Computed properties:
For the density of states at the Fermi level, the calculation gives 3.22 states/eV/atom. The calculation puts the energy above the most stable polymorph in this dataset at 234 meV/atom. Its crystal system is cubic. Its space-group type is Fm-3m, No. 225. The energy comes out at -6.122 eV per atom. The total magnetization is 5.96 μB/f.u.



A relaxed PuScGaPb crystal, computed with PBE.

POSCAR file:
```
PuScGaPb
1.0
0.000 3.639 3.639
3.639 0.000 3.639
3.639 3.639 0.000
Pu Sc Ga Pb
1 1 1 1
direct
0.000 0.000 0.000
0.500 0.500 0.500
0.250 0.250 0.250
0.750 0.750 0.750
```

Computed properties:
For the density of states at the Fermi level, the calculation gives 2.44 states/eV/atom. Its crystal system is cubic. Its space-group type is F-43m, No. 216. The energy comes out at -7.101 eV per atom. The total magnetization is 6.09 μB/f.u.



A relaxed SmPuGaPb crystal, computed with PBE.

POSCAR file:
```
SmPuGaPb
1.0
0.000 3.774 3.774
3.774 0.000 3.774
3.774 3.774 0.000
Sm Pu Ga Pb
1 1 1 1
direct
0.000 0.000 0.000
0.500 0.500 0.500
0.250 0.250 0.250
0.750 0.750 0.750
```

Computed properties:
For the density of states at the Fermi level, the calculation gives 2.68 states/eV/atom. Its crystal system is cubic. Its space-group type is F-43m, No. 216. The energy comes out at -6.726 eV per atom. The total magnetization is 5.98 μB/f.u.



A relaxed PuGaSnPb crystal, computed with PBE.

POSCAR file:
```
PuGaSnPb
1.0
4.574 0.000 0.000
0.000 4.627 0.000
0.000 0.000 4.660
Pu Ga Sn Pb
1 1 1 1
direct
0.000 0.000 0.000
0.500 0.500 0.000
0.500 0.000 0.500
0.000 0.500 0.500
```

Computed properties:
For the density of states at the Fermi level, the calculation gives 2.52 states/eV/atom. Its crystal system is orthorhombic. Its space-group type is Pmmm, No. 47. The energy comes out at -6.521 eV per atom. The total magnetization is 5.31 μB/f.u.



A relaxed SrPuGaPb crystal, computed with PBE.

POSCAR file:
```
SrPuGaPb
1.0
0.000 3.891 3.891
3.891 0.000 3.891
3.891 3.891 0.000
Sr Pu Ga Pb
1 1 1 1
direct
0.000 0.000 0.000
0.500 0.500 0.500
0.250 0.250 0.250
0.750 0.750 0.750
```

Computed properties:
For the density of states at the Fermi level, the calculation gives 3.30 states/eV/atom. Its crystal system is cubic. Its space-group type is F-43m, No. 216. The energy comes out at -5.888 eV per atom. The total magnetization is 5.76 μB/f.u.



A relaxed PuThGaPb crystal, computed with PBE.

POSCAR file:
```
PuThGaPb
1.0
0.000 3.789 3.789
3.789 0.000 3.789
3.789 3.789 0.000
Pu Th Ga Pb
1 1 1 1
direct
0.000 0.000 0.000
0.500 0.500 0.500
0.750 0.750 0.750
0.250 0.250 0.250
```

Computed properties:
For the density of states at the Fermi level, the calculation gives 2.47 states/eV/atom. Its crystal system is cubic. Its space-group type is F-43m, No. 216. The energy comes out at -7.285 eV per atom. The total magnetization is 6.08 μB/f.u.



A relaxed RbGaPb2 crystal, computed with PBE.

POSCAR file:
```
RbGaPb2
1.0
4.944 0.000 0.000
0.000 4.944 0.000
0.000 0.000 11.124
Rb Ga Pb
2 2 4
direct
0.250 0.250 0.243
0.750 0.750 0.757
0.250 0.250 0.661
0.750 0.750 0.339
0.250 0.250 0.936
0.250 0.750 0.500
0.750 0.250 0.500
0.750 0.750 0.064
```

Computed properties:
For the density of states at the Fermi level, the calculation gives 0.35 states/eV/atom. Its crystal system is tetragonal. Its space-group type is P4/nmm, No. 129. The energy comes out at -2.866 eV per atom. The total magnetization is 0.00 μB/f.u.



A relaxed RbGa2Pb2 crystal, computed with PBE.

POSCAR file:
```
RbGa2Pb2
1.0
-2.425 2.425 6.776
2.425 -2.425 6.776
2.425 2.425 -6.776
Rb Ga Pb
1 2 2
direct
0.000 0.000 0.000
0.250 0.750 0.500
0.750 0.250 0.500
0.374 0.374 0.000
0.626 0.626 0.000
```

Computed properties:
For the density of states at the Fermi level, the calculation gives 0.71 states/eV/atom. The calculation puts the energy above the most stable polymorph in this dataset at 55 meV/atom. Its crystal system is tetragonal. Its space-group type is I4/mmm, No. 139. The energy comes out at -2.927 eV per atom. The total magnetization is 0.00 μB/f.u.



A relaxed Rb5Ga4Pb2 crystal, computed with PBE.

POSCAR file:
```
Rb5Ga4Pb2
1.0
6.575 -3.662 0.000
6.575 3.662 0.000
-3.222 0.000 8.332
Rb Ga Pb
5 4 2
direct
0.000 0.000 0.000
0.161 0.644 0.619
0.356 0.839 0.381
0.644 0.161 0.619
0.839 0.356 0.381
0.299 0.299 0.208
0.410 0.410 0.028
0.590 0.590 0.972
0.701 0.701 0.792
0.200 0.200 0.797
0.800 0.800 0.203
```

Computed properties:
For the density of states at the Fermi level, the calculation gives 0.42 states/eV/atom. Its crystal system is monoclinic. Its space-group type is C2/m, No. 12. The energy comes out at -2.150 eV per atom. The total magnetization is 0.00 μB/f.u.



A relaxed RbGaPb2 crystal, computed with PBE.

POSCAR file:
```
RbGaPb2
1.0
3.619 0.000 0.000
0.009 7.046 0.000
1.804 1.786 10.609
Rb Ga Pb
2 2 4
direct
0.136 0.080 0.226
0.864 0.920 0.774
0.392 0.455 0.717
0.608 0.545 0.283
0.216 0.656 0.065
0.497 0.253 0.504
0.503 0.747 0.496
0.784 0.344 0.935
```

Computed properties:
For the density of states at the Fermi level, the calculation gives 0.43 states/eV/atom. Its crystal system is triclinic. Its space-group type is P-1, No. 2. The energy comes out at -2.882 eV per atom. The total magnetization is 0.00 μB/f.u.



A relaxed RbGa2Pb2 crystal, computed with PBE.

POSCAR file:
```
RbGa2Pb2
1.0
9.282 0.000 0.000
0.000 9.282 0.000
0.000 0.000 3.472
Rb Ga Pb
2 4 4
direct
0.000 0.000 0.000
0.500 0.500 0.000
0.140 0.360 0.000
0.360 0.860 0.000
0.640 0.140 0.000
0.860 0.640 0.000
0.143 0.643 0.500
0.357 0.143 0.500
0.643 0.857 0.500
0.857 0.357 0.500
```

Computed properties:
For the density of states at the Fermi level, the calculation gives 0.59 states/eV/atom. The calculation puts the energy above the most stable polymorph in this dataset at 104 meV/atom. Its crystal system is tetragonal. Its space-group type is P4/mbm, No. 127. The energy comes out at -2.878 eV per atom. The total magnetization is 0.00 μB/f.u.



A relaxed RbGa2Pb2 crystal, computed with PBE.

POSCAR file:
```
RbGa2Pb2
1.0
-2.561 2.561 5.789
2.561 -2.561 5.789
2.561 2.561 -5.789
Rb Ga Pb
1 2 2
direct
0.000 0.000 0.000
0.388 0.388 0.000
0.612 0.612 0.000
0.250 0.750 0.500
0.750 0.250 0.500
```

Computed properties:
For the density of states at the Fermi level, the calculation gives 0.42 states/eV/atom. The calculation puts the energy above the most stable polymorph in this dataset at 0 meV/atom. Its crystal system is tetragonal. Its space-group type is I4/mmm, No. 139. The energy comes out at -2.982 eV per atom. The total magnetization is 0.00 μB/f.u.



A relaxed RbGaPb2 crystal, computed with PBE.

POSCAR file:
```
RbGaPb2
1.0
2.358 1.361 7.795
-2.358 1.361 7.795
0.000 -2.723 7.795
Rb Ga Pb
1 1 2
direct
0.000 0.000 0.000
0.176 0.176 0.176
0.555 0.555 0.555
0.790 0.790 0.790
```

Computed properties:
For the density of states at the Fermi level, the calculation gives 0.27 states/eV/atom. Its crystal system is trigonal. Its space-group type is R3m, No. 160. The energy comes out at -2.864 eV per atom. The total magnetization is 0.00 μB/f.u.



A relaxed RbGaPb6 crystal, computed with PBE.

POSCAR file:
```
RbGaPb6
1.0
5.148 0.000 0.000
0.000 5.148 0.000
0.000 0.000 10.737
Rb Ga Pb
1 1 6
direct
0.000 0.000 0.000
0.000 0.000 0.500
0.000 0.500 0.336
0.000 0.500 0.664
0.500 0.000 0.336
0.500 0.000 0.664
0.500 0.500 0.152
0.500 0.500 0.848
```

Computed properties:
For the density of states at the Fermi level, the calculation gives 0.51 states/eV/atom. Its crystal system is tetragonal. Its space-group type is P4/mmm, No. 123. The energy comes out at -3.304 eV per atom. The total magnetization is 0.00 μB/f.u.



A relaxed Rb3GaPb4 crystal, computed with PBE.

POSCAR file:
```
Rb3GaPb4
1.0
7.235 0.000 0.000
0.000 13.921 0.000
0.000 0.000 6.771
Rb Ga Pb
6 2 8
direct
0.250 0.001 0.177
0.250 0.250 0.537
0.250 0.499 0.177
0.750 0.501 0.823
0.750 0.750 0.463
0.750 0.999 0.823
0.250 0.750 0.306
0.750 0.250 0.694
0.010 0.250 0.027
0.250 0.634 0.674
0.250 0.866 0.674
0.490 0.250 0.027
0.510 0.750 0.973
0.750 0.134 0.326
0.750 0.366 0.326
0.990 0.750 0.973
```

Computed properties:
For the density of states at the Fermi level, the calculation gives 0.46 states/eV/atom. Its crystal system is orthorhombic. Its space-group type is Pmmn, No. 59. The energy comes out at -2.737 eV per atom. The total magnetization is 0.00 μB/f.u.



A relaxed RbGaPb4 crystal, computed with PBE.

POSCAR file:
```
RbGaPb4
1.0
5.297 0.000 0.000
1.964 8.936 0.000
0.092 4.615 8.863
Rb Ga Pb
2 2 8
direct
0.233 0.498 0.189
0.767 0.502 0.811
0.000 0.000 0.000
0.500 0.000 0.500
0.049 0.909 0.709
0.226 0.698 0.506
0.296 0.249 0.690
0.443 0.144 0.060
0.557 0.856 0.940
0.704 0.751 0.310
0.774 0.302 0.494
0.951 0.091 0.291
```

Computed properties:
For the density of states at the Fermi level, the calculation gives 0.37 states/eV/atom. The calculation puts the energy above the most stable polymorph in this dataset at 0 meV/atom. Its crystal system is triclinic. Its space-group type is P-1, No. 2. The energy comes out at -3.153 eV per atom. The total magnetization is 0.00 μB/f.u.



A relaxed RbGaPb2 crystal, computed with PBE.

POSCAR file:
```
RbGaPb2
1.0
-2.983 2.983 9.763
2.983 -2.983 9.763
2.983 2.983 -9.763
Rb Ga Pb
2 2 4
direct
0.000 0.000 0.000
0.750 0.250 0.500
0.250 0.750 0.500
0.500 0.500 0.000
0.294 0.625 0.169
0.375 0.544 0.669
0.456 0.125 0.831
0.875 0.706 0.331
```

Computed properties:
For the density of states at the Fermi level, the calculation gives 0.38 states/eV/atom. Its crystal system is tetragonal. Its space-group type is I-42d, No. 122. The energy comes out at -2.739 eV per atom. The total magnetization is 0.00 μB/f.u.



A relaxed Rb2GaPb2 crystal, computed with PBE.

POSCAR file:
```
Rb2GaPb2
1.0
10.646 0.000 0.000
0.000 10.646 0.000
0.000 0.000 3.669
Rb Ga Pb
4 2 4
direct
0.197 0.303 0.000
0.303 0.803 0.000
0.697 0.197 0.000
0.803 0.697 0.000
0.000 0.000 0.500
0.500 0.500 0.500
0.100 0.600 0.500
0.400 0.100 0.500
0.600 0.900 0.500
0.900 0.400 0.500
```

Computed properties:
For the density of states at the Fermi level, the calculation gives 0.65 states/eV/atom. The calculation puts the energy above the most stable polymorph in this dataset at 233 meV/atom. Its crystal system is tetragonal. Its space-group type is P4/mbm, No. 127. The energy comes out at -2.270 eV per atom. The total magnetization is 0.00 μB/f.u.



A relaxed Rb3GaPb crystal, computed with PBE.

POSCAR file:
```
Rb3GaPb
1.0
6.558 -5.765 0.000
6.558 5.765 0.000
-5.608 0.000 6.933
Rb Ga Pb
6 2 2
direct
0.052 0.052 0.269
0.084 0.471 0.800
0.471 0.084 0.800
0.529 0.916 0.200
0.916 0.529 0.200
0.948 0.948 0.731
0.290 0.290 0.175
0.710 0.710 0.825
0.434 0.434 0.601
0.566 0.566 0.399
```

Computed properties:
For the density of states at the Fermi level, the calculation gives 0.80 states/eV/atom. The calculation puts the energy above the most stable polymorph in this dataset at 0 meV/atom. Its crystal system is monoclinic. Its space-group type is C2/m, No. 12. The energy comes out at -1.906 eV per atom. The total magnetization is 0.27 μB/f.u.